(1)
{"formula": "GdPt", "functional": "PBE", "state": "relaxed", "lattice": [[0.000, 2.904, 2.904], [2.904, 0.000, 2.904], [2.904, 2.904, 0.000]], "species": ["Gd", "Pt"], "frac_coords": [[0.000, 0.000, 0.000], [0.500, 0.500, 0.500]], "e_tot_ev_per_atom": -11.1723, "space_group": "Fm-3m (225)", "m_tot_mub_per_cell": 7.11, "delta_e_f_ev_per_atom": -1.11}

***

(2)
{"formula": "GdPt3", "functional": "PBE", "state": "relaxed", "lattice": [[-2.066, 2.066, 4.245], [2.066, -2.066, 4.245], [2.066, 2.066, -4.245]], "species": ["Gd", "Pt", "Pt", "Pt"], "frac_coords": [[0.000, 0.000, 0.000], [0.250, 0.750, 0.500], [0.500, 0.500, 0.000], [0.750, 0.250, 0.500]], "e_tot_ev_per_atom": -8.8701, "space_group": "I4/mmm (139)", "m_tot_mub_per_cell": 7.11, "delta_e_f_ev_per_atom": -0.82}

***

(3)
{"formula": "GdPuPt4", "functional": "PBE", "state": "relaxed", "lattice": [[0.000, 3.862, 3.862], [3.862, 0.000, 3.862], [3.862, 3.862, 0.000]], "species": ["Gd", "Pu", "Pt", "Pt", "Pt", "Pt"], "frac_coords": [[0.000, 0.000, 0.000], [0.250, 0.250, 0.250], [0.125, 0.625, 0.625], [0.625, 0.125, 0.625], [0.625, 0.625, 0.125], [0.625, 0.625, 0.625]], "e_tot_ev_per_atom": -9.7278, "space_group": "F-43m (216)", "m_tot_mub_per_cell": 12.47, "delta_e_f_ev_per_atom": -0.97}